1.
Compound: Cr2NiAg
Source: the Alexandria database
Functional: meta-GGA SCAN
Structure: single point on PBEsol structure

a = 2.947 Å, b = 2.947 Å, c = 5.858 Å
α = 90.00°, β = 90.00°, γ = 90.00°
Fractional coordinates of all 4 atoms:
Cr 0.000 0.000 0.000
Cr 0.500 0.500 0.208
Ni 0.000 0.000 0.428
Ag 0.500 0.500 0.699

Computed properties:
The value obtained for the total energy is -20.90 eV/atom. For the density of states at the Fermi level, the calculation gives 2.85 states/eV/f.u. The value obtained for the formation energy is 17.6 kJ per mole of atoms.



2.
Compound: CaAuSe2
Source: the Alexandria database
Functional: meta-GGA SCAN
Structure: single point on PBEsol structure

a = 11.296 Å, b = 3.826 Å, c = 4.051 Å
α = 90.00°, β = 91.27°, γ = 90.00°
Fractional coordinates of all 8 atoms:
Ca 0.000 0.000 0.000
Ca 0.500 0.500 0.000
Au 0.269 0.500 0.488
Au 0.769 0.000 0.488
Se 0.041 0.500 0.502
Se 0.278 0.000 0.994
Se 0.541 0.000 0.502
Se 0.778 0.500 0.994

Computed properties:
The value obtained for the total energy is -30.67 eV/atom. For the density of states at the Fermi level, the calculation gives 1.89 states/eV/f.u. Its formation energy from raw total energies is -0.927 eV per atom.



3.
Compound: HgC5
Source: the Alexandria database
Functional: meta-GGA SCAN
Structure: single point on PBEsol structure

a = 6.317 Å, b = 8.418 Å, c = 2.518 Å
α = 90.00°, β = 90.00°, γ = 90.00°
Fractional coordinates of all 12 atoms:
Hg 0.000 0.000 0.000
Hg 0.500 0.500 0.000
C 0.000 0.250 0.000
C 0.000 0.334 0.500
C 0.000 0.500 0.500
C 0.000 0.666 0.500
C 0.000 0.750 0.000
C 0.500 0.000 0.500
C 0.500 0.166 0.500
C 0.500 0.250 0.000
C 0.500 0.750 0.000
C 0.500 0.834 0.500

Computed properties:
The value obtained for the total energy is -18.73 eV/atom. For the density of states at the Fermi level, the calculation gives 2.18 states/eV/f.u. The value obtained for the formation energy is 100.7 kJ per mole of atoms.



4.
Compound: MnZnHg2
Source: the Alexandria database
Functional: meta-GGA SCAN
Structure: single point on PBEsol structure

a = 4.547 Å, b = 4.547 Å, c = 6.690 Å
α = 90.00°, β = 90.00°, γ = 90.00°
Fractional coordinates of all 8 atoms:
Mn 0.000 0.000 0.000
Mn 0.500 0.500 0.500
Zn 0.000 0.000 0.500
Zn 0.500 0.500 0.000
Hg 0.000 0.500 0.250
Hg 0.000 0.500 0.750
Hg 0.500 0.000 0.250
Hg 0.500 0.000 0.750

Computed properties:
The value obtained for the total energy is -41.99 eV/atom. For the density of states at the Fermi level, the calculation gives 1.22 states/eV/f.u. The value obtained for the formation energy is 3.6 kJ per mole of atoms.